[1]
Compound: Re2Mo5W4
Source: the Alexandria database
Functional: PBE-GGA
Structure: relaxed

Geometry as POSCAR:
```
Re2Mo5W4
1.0
9.105 -1.527 0.000
9.105 1.527 0.000
-0.443 0.000 6.674
Re Mo W
2 5 4
direct
0.052 0.052 0.148
0.948 0.948 0.852
0.000 0.000 0.500
0.284 0.284 0.163
0.335 0.335 0.795
0.665 0.665 0.205
0.716 0.716 0.837
0.179 0.179 0.533
0.426 0.426 0.200
0.574 0.574 0.800
0.821 0.821 0.467
```

Calculated values
- volume (Å³ per cell) = 185.6
- formation enthalpy at 0 K (eV/atom) = 0.5835
- space-group type = No. 12
- Fermi-level density of states (states/eV per cell) = 9.7

---

[2]
Compound: SrYSc2Re
Source: the Alexandria database
Functional: PBE-GGA
Structure: relaxed

Geometry as POSCAR:
```
SrYSc2Re
1.0
5.121 0.000 0.000
0.000 5.121 0.000
0.000 0.000 5.619
Sr Y Sc Re
1 1 2 1
direct
0.000 0.000 0.000
0.000 0.000 0.500
0.000 0.500 0.500
0.500 0.000 0.500
0.500 0.500 0.000
```

Calculated values
- volume (Å³ per cell) = 147.3
- formation enthalpy at 0 K (eV/atom) = 1.8909
- space-group type = No. 123
- Fermi-level density of states (states/eV per cell) = 5.7

---

[3]
Compound: TiCdPd2
Source: the Alexandria database
Functional: PBE-GGA
Structure: relaxed

Geometry as POSCAR:
```
TiCdPd2
1.0
-3.586 3.586 2.848
3.586 -3.586 2.848
3.586 3.586 -2.848
Ti Cd Pd
2 2 4
direct
0.000 0.000 0.000
0.750 0.250 0.500
0.250 0.750 0.500
0.500 0.500 0.000
0.091 0.125 0.466
0.375 0.909 0.034
0.659 0.625 0.534
0.875 0.341 0.966
```

Calculated values
- volume (Å³ per cell) = 146.5
- formation enthalpy at 0 K (eV/atom) = -0.1022
- space-group type = No. 122
- Fermi-level density of states (states/eV per cell) = 6.4

---

[4]
Compound: TaHgPb
Source: the Alexandria database
Functional: PBE-GGA
Structure: relaxed

Geometry as POSCAR:
```
TaHgPb
1.0
3.208 0.000 0.000
-1.604 2.778 0.000
0.000 0.000 7.726
Ta Hg Pb
1 1 1
direct
0.000 0.000 0.000
0.667 0.333 0.301
0.333 0.667 0.674
```

Calculated values
- volume (Å³ per cell) = 68.8
- offset from the most stable computed form (eV/atom) = 0.000
- formation enthalpy at 0 K (eV/atom) = 0.4808
- space-group type = No. 156
- Fermi-level density of states (states/eV per cell) = 2.2

---

- Fermi-level density of states of number 2 (SrYSc2Re)?
  5.7 states/eV per cell

---

- Among the records above, which one has the lowest Fermi-level density of states?
  TaHgPb

---

- Fermi-level density of states of number 2 (SrYSc2Re)?
  5.7 states/eV per cell